Record 1
Entry from Alexandria via LeMat-Bulk: a relaxed structure of LiCuTc (GGA-PBE).

Computed properties:
SG: F-43m
E: -4.599 eV per atom
mass density: 6.12 g/cm³
formation energy: 0.86 eV/atom
relative energy among the computed polymorphs: 679 meV per atom

Cell lengths 4.0133, 4.0133, 4.0133 Å; angles 60.00, 60.00, 60.00 degrees
Positions (direct):
Li 0.0000 0.0000 0.0000
Cu 0.7500 0.7500 0.7500
Tc 0.5000 0.5000 0.5000

Record 2
Entry from Alexandria via LeMat-Bulk: a relaxed structure of TbYCoI (GGA-PBE).

Computed properties:
SG: R3m
E: -5.500 eV per atom
mass density: 6.69 g/cm³
ΔE_f (raw): -54.29 kJ per mole of atoms

Cell lengths 8.2066, 8.2066, 8.2066 Å; angles 28.00, 28.00, 28.00 degrees
Positions (direct):
Tb 0.0000 0.0000 0.0000
Y 0.2144 0.2144 0.2144
Co 0.6079 0.6079 0.6079
I 0.7763 0.7763 0.7763